[1]
5
Lattice="4.2105 0.0000 0.0000 0.0000 4.2105 0.0000 0.0000 0.0000 4.2105" Properties=species:S:1:pos:R:3 comment="CrOsF3 | Alexandria via LeMat-Bulk | PBE+U | optimized geometry" magnetic_moment_mub_per_fu=5.53 energy_ev_per_fu=-26.796 space_group=Pm-3m dos_ef_per_ev_cell=2.75 vol_a3_per_atom=14.929 pbc="T T T"
F 2.1053 0.0000 0.0000
F 0.0000 2.1053 0.0000
F 0.0000 0.0000 2.1053
Cr 2.1053 2.1053 2.1053
Os 0.0000 0.0000 0.0000



[2]
4
Lattice="-2.2378 -2.5884 -2.2801 -3.1611 1.4178 -2.2144 0.2559 0.1262 -4.1019" Properties=species:S:1:pos:R:3 comment="CrOsF2 | Alexandria via LeMat-Bulk | PBE+U | optimized geometry" magnetic_moment_mub_per_fu=1.02 energy_ev_per_fu=-17.846 space_group=Fm-3m dos_ef_per_ev_cell=7.25 vol_a3_per_atom=12.289 pbc="T T T"
Os -2.5715 -0.5222 -4.2982
Cr 0.0000 0.0000 0.0000
F -3.8572 -0.7833 -6.4473
F -1.2857 -0.2611 -2.1491



[3]
4
Lattice="1.5811 0.0000 7.3458 -0.7905 1.3693 7.3458 -0.7905 -1.3693 7.3458" Properties=species:S:1:pos:R:3 comment="CrOsF2 | Alexandria via LeMat-Bulk | PBE+U | optimized geometry" magnetic_moment_mub_per_fu=0.42 energy_ev_per_fu=-23.279 space_group=R-3m dos_ef_per_ev_cell=2.60 vol_a3_per_atom=11.928 pbc="T T T"
Os 0.0000 0.0000 0.0000
Cr 0.0000 0.0000 11.0188
F 0.0000 0.0000 2.1279
F 0.0000 0.0000 19.9096



[4]
5
Lattice="3.9849 0.0000 0.0000 0.0000 3.9849 0.0000 0.0000 0.0000 3.9849" Properties=species:S:1:pos:R:3 comment="CrOsF3 | Alexandria via LeMat-Bulk | PBE+U | optimized geometry" magnetic_moment_mub_per_fu=0.00 energy_ev_per_fu=-22.193 space_group=Pm-3m dos_ef_per_ev_cell=13.92 vol_a3_per_atom=12.656 pbc="T T T"
F 0.0000 0.0000 1.9925
F 0.0000 1.9925 0.0000
F 1.9925 0.0000 0.0000
Cr 0.0000 0.0000 0.0000
Os 1.9925 1.9925 1.9925



[5]
4
Lattice="0.0000 2.9455 2.9455 2.9455 0.0000 2.9455 2.9455 2.9455 0.0000" Properties=species:S:1:pos:R:3 comment="CrOs2F | Alexandria via LeMat-Bulk | PBE+U | optimized geometry" magnetic_moment_mub_per_fu=0.00 energy_ev_per_fu=-27.801 space_group=Fm-3m dos_ef_per_ev_cell=5.90 vol_a3_per_atom=12.777 pbc="T T T"
Cr 2.9455 2.9455 2.9455
Os 1.4727 1.4727 1.4727
Os 4.4182 4.4182 4.4182
F 0.0000 0.0000 0.0000



[6]
4
Lattice="-1.1404 -8.1487 2.4115 -0.2305 -8.5693 -0.1789 1.5871 -8.2112 1.8906" Properties=species:S:1:pos:R:3 comment="CrOsF2 | Alexandria via LeMat-Bulk | PBE+U | optimized geometry" magnetic_moment_mub_per_fu=6.00 energy_ev_per_fu=-23.608 space_group=R-3m dos_ef_per_ev_cell=2.77 vol_a3_per_atom=14.068 pbc="T T T"
Os 0.1081 -12.4646 2.0616
F 0.0162 -1.8661 0.3086
F 0.2000 -23.0632 3.8146
Cr 0.0000 0.0000 0.0000



[7]
8
Lattice="-2.9193 -1.1813 -4.1200 3.7185 -3.1769 -1.7240 -1.6878 -6.0230 -0.3408" Properties=species:S:1:pos:R:3 comment="CrOsF2 | Alexandria via LeMat-Bulk | PBE+U | optimized geometry" magnetic_moment_mub_per_fu=3.09 energy_ev_per_fu=-19.739 space_group=I-42d dos_ef_per_ev_cell=7.12 vol_a3_per_atom=17.073 pbc="T T T"
Cr 0.3996 -2.1791 -2.9220
Cr 1.2152 -5.6895 -2.4934
F -0.5865 -6.4759 -2.6231
F -1.4837 -2.5206 -2.4551
F 1.2392 -3.7596 -2.0983
F -0.9462 -8.0063 -5.1931
Os 0.0000 0.0000 0.0000
Os -2.1038 -4.6917 -3.6914



[8]
8
Lattice="7.9519 0.0000 0.0000 0.0000 7.9519 0.0000 3.9759 3.9759 2.0775" Properties=species:S:1:pos:R:3 comment="CrOs2F | Alexandria via LeMat-Bulk | PBE+U | optimized geometry" magnetic_moment_mub_per_fu=3.32 energy_ev_per_fu=-28.649 space_group=I-42d dos_ef_per_ev_cell=7.10 vol_a3_per_atom=16.421 pbc="T T T"
Os 5.9639 6.5075 1.5582
Os 2.5316 5.9639 0.5194
Os 5.4203 1.9880 0.5194
Os 9.9398 9.3962 1.5582
Cr 0.0000 0.0000 0.0000
Cr 7.9519 3.9759 1.0388
F 3.9759 7.9519 1.0388
F 3.9759 3.9759 0.0000



[9]
5
Lattice="-0.4852 2.3932 3.5145 -3.1413 -2.5857 1.3270 2.8656 -2.4293 2.0498" Properties=species:S:1:pos:R:3 comment="Cr3OsF | Alexandria via LeMat-Bulk | PBE+U | optimized geometry" magnetic_moment_mub_per_fu=11.43 energy_ev_per_fu=-33.360 space_group=Pm-3m dos_ef_per_ev_cell=3.97 vol_a3_per_atom=15.676 pbc="T T T"
F 0.0000 0.0000 0.0000
Os -0.3805 -1.3109 3.4457
Cr -1.5706 -1.2928 0.6635
Cr 1.4328 -1.2146 1.0249
Cr -0.2426 1.1966 1.7573



[10]
5
Lattice="-0.9618 -1.7150 4.4841 3.5631 -3.3200 -0.5056 3.2176 3.1638 1.9002" Properties=species:S:1:pos:R:3 comment="Cr3OsF | Alexandria via LeMat-Bulk | PBE+U | optimized geometry" magnetic_moment_mub_per_fu=12.05 energy_ev_per_fu=-31.028 space_group=Pm-3m dos_ef_per_ev_cell=4.42 vol_a3_per_atom=23.476 pbc="T T T"
Os 0.0000 0.0000 0.0000
Cr -0.4809 -0.8575 2.2420
Cr 1.7815 -1.6600 -0.2528
Cr 1.6088 1.5819 0.9501
F 2.9095 -0.9356 2.9394